1.
A plane-wave DFT calculation with PBE was carried out for Zr2TlSb after structural relaxation.

Geometry as POSCAR:
```
Zr2TlSb
1.0
5.8612 -0.0178 0.0311
4.9390 3.1561 0.0311
1.1911 0.3461 5.0343
Sb Tl Zr
1 1 2
Direct
0.5062 0.5062 0.4099
0.7494 0.7494 0.8362
0.0046 0.0046 0.9139
0.2398 0.2398 0.3400
```

2.
A plane-wave DFT calculation with PBE was carried out for Zr2TlSb after structural relaxation.

Geometry as POSCAR:
```
Zr2TlSb
1.0
3.6995 0.0000 0.0000
0.0000 3.6995 0.0000
0.0000 0.0000 6.7593
Sb Tl Zr
1 1 2
Direct
0.5000 0.5000 0.2500
0.5000 0.5000 0.7500
0.0000 0.0000 0.0166
0.0000 0.0000 0.4834
```

3.
A plane-wave DFT calculation with PBE was carried out for Zr8Tl2Sb after structural relaxation.

Geometry as POSCAR:
```
Zr8Tl2Sb
1.0
-1.2744 -4.9260 -1.6883
1.4974 -1.1104 7.7291
-6.2527 4.3347 -2.3084
Zr Tl Sb
8 2 1
Direct
0.8392 0.9033 0.6850
0.8392 0.6850 0.9033
0.2930 0.5945 0.5945
0.5000 0.7843 0.2157
0.5000 0.2157 0.7843
0.7070 0.4055 0.4055
0.1608 0.3150 0.0967
0.1608 0.0967 0.3150
0.0000 0.3055 0.6945
0.0000 0.6945 0.3055
0.5000 0.0000 0.0000
```

4.
A plane-wave DFT calculation with PBE was carried out for Zr2TlSb after structural relaxation.

Geometry as POSCAR:
```
Zr2TlSb
1.0
3.8121 0.0000 0.0000
1.9061 3.3014 0.0000
1.9061 1.1005 8.0706
Zr Tl Sb
2 1 1
Direct
0.0752 0.0752 0.7743
0.2582 0.2582 0.2253
0.4993 0.4993 0.5020
0.6672 0.6672 0.9984
```

5.
A plane-wave DFT calculation with PBE was carried out for ZrTl2Sb after structural relaxation.

Values from the calculation:
* E above lowest polymorph: 85 meV per atom

Geometry as POSCAR:
```
ZrTl2Sb
1.0
-5.2384 -2.9506 9.4134
-5.2370 -5.9577 7.8637
-2.5459 -4.9828 9.6669
Sb Tl Zr
1 2 1
Direct
0.7613 0.7613 0.7613
0.9974 0.9974 0.9974
0.2421 0.2421 0.2421
0.4992 0.4992 0.4992
```

6.
A plane-wave DFT calculation with PBE was carried out for Zr2TlSb after structural relaxation.

Geometry as POSCAR:
```
Zr2TlSb
1.0
6.8553 0.0181 0.0462
-2.8974 4.4324 0.0025
1.0606 1.2021 3.0643
Sb Tl Zr
1 1 2
Direct
0.0000 0.5000 0.5000
0.5000 0.5000 0.0000
0.0000 0.0000 0.0000
0.5000 0.0000 0.5000
```

no.,E_form (uncorrected) (eV per atom)
1,-0.23
2,-0.24
3,-0.02
4,-0.18
5,-0.04
6,-0.27